Below is CrWS2Cl after structural relaxation, with properties calculated at the PBE level.

Geometry as POSCAR:
```
CrWS2Cl
1.0
4.673 0.000 0.000
0.000 4.673 0.000
0.000 0.000 4.886
S Cr W Cl
2 1 1 1
direct
0.000 0.500 0.000 S
0.500 0.000 0.000 S
0.500 0.500 0.500 Cr
0.000 0.000 0.000 W
0.000 0.000 0.500 Cl
```

The symmetry is No. 123. The calculation puts the distance to the lowest polymorph of the same formula at 0 meV/atom. The uncorrected formation energy comes out at 0.27 eV/atom. The calculation puts the total moment at 4.94 μB per cell.



Below is CrWSCl2 after structural relaxation, with properties calculated at the PBE level.

Geometry as POSCAR:
```
CrWSCl2
1.0
4.417 0.000 0.000
0.000 4.417 0.000
0.000 0.000 5.029
W Cr Cl S
1 1 2 1
direct
0.500 0.500 0.500 W
0.000 0.000 0.000 Cr
0.500 0.000 0.000 Cl
0.000 0.500 0.000 Cl
0.000 0.000 0.500 S
```

The symmetry is No. 123. The calculation puts the distance to the lowest polymorph of the same formula at 607 meV/atom. The uncorrected formation energy comes out at 0.94 eV/atom. The calculation puts the total moment at 4.31 μB per cell.



Below is CrWSCl2 after structural relaxation, with properties calculated at the PBE level.

Geometry as POSCAR:
```
CrWSCl2
1.0
-4.783 0.828 0.787
-0.741 -4.827 0.578
0.818 0.417 4.532
Cr W Cl S
1 1 2 1
direct
0.500 0.500 0.500 Cr
0.000 0.000 0.000 W
0.000 0.500 0.000 Cl
0.500 0.000 0.000 Cl
0.000 0.000 0.500 S
```

The symmetry is No. 123. The calculation puts the distance to the lowest polymorph of the same formula at 0 meV/atom. The uncorrected formation energy comes out at 0.33 eV/atom. The calculation puts the total moment at 6.26 μB per cell.



Below is CrWS2Cl after structural relaxation, with properties calculated at the PBE level.

Geometry as POSCAR:
```
CrWS2Cl
1.0
-2.192 3.926 1.371
-3.743 -2.538 1.283
1.716 -0.467 4.081
Cl S Cr W
1 2 1 1
direct
0.000 0.000 0.500 Cl
0.500 0.000 0.000 S
0.000 0.500 0.000 S
0.000 0.000 0.000 Cr
0.500 0.500 0.500 W
```

The symmetry is No. 123. The calculation puts the distance to the lowest polymorph of the same formula at 488 meV/atom. The uncorrected formation energy comes out at 0.76 eV/atom. The calculation puts the total moment at 7.00 μB per cell.